Record 1
A relaxed structure of ThSc2Al, computed with PBE.

a = 3.366 Å, b = 3.366 Å, c = 8.373 Å
α = 90.00°, β = 90.00°, γ = 90.00°
Positions (direct):
Sc 0.000 0.000 0.786
Sc 0.000 0.000 0.214
Al 0.500 0.500 0.000
Th 0.500 0.500 0.500

Output
Total magnetic moment   0.00 μB/f.u.
Energy   -6.1765 eV per atom
DFT formation energy   -0.220 eV/atom

Record 2
A relaxed structure of Nd8SmMg2, computed with PBE.

a = 5.892 Å, b = 9.009 Å, c = 9.161 Å
α = 60.55°, β = 76.65°, γ = 61.98°
Positions (direct):
Nd 0.294 0.411 0.000
Nd 0.858 0.326 0.771
Nd 0.142 0.674 0.229
Nd 0.500 0.210 0.579
Nd 0.858 0.097 0.229
Nd 0.142 0.903 0.771
Nd 0.706 0.589 0.000
Nd 0.500 0.790 0.421
Mg 0.000 0.307 0.386
Mg 0.000 0.693 0.614
Sm 0.500 0.000 0.000

Output
Total magnetic moment   0.00 μB/f.u.
Energy   -4.0777 eV per atom
DFT formation energy   0.109 eV/atom

Record 3
A relaxed structure of ZnSnSb2, computed with PBE.

a = 6.384 Å, b = 6.384 Å, c = 7.840 Å
α = 65.98°, β = 65.98°, γ = 90.00°
Positions (direct):
Sn 0.000 0.000 0.000
Sn 0.750 0.250 0.500
Zn 0.500 0.500 0.000
Zn 0.250 0.750 0.500
Sb 0.375 0.401 0.750
Sb 0.599 0.125 0.250
Sb 0.151 0.625 0.250
Sb 0.875 0.849 0.750

Output
Formation energy (no corrections)   -24 kJ/mol of formula units
Total magnetic moment   0.00 μB/f.u.
Energy   -3.4435 eV per atom

Record 4
A relaxed structure of Pm3Sm6Dy2, computed with PBE.

a = 6.261 Å, b = 8.107 Å, c = 16.625 Å
α = 50.44°, β = 63.83°, γ = 104.82°
Positions (direct):
Pm 0.000 0.000 0.000
Pm 0.179 0.088 0.729
Pm 0.821 0.912 0.271
Sm 0.272 0.635 0.091
Sm 0.637 0.818 0.546
Sm 0.728 0.365 0.909
Sm 0.089 0.544 0.364
Sm 0.911 0.456 0.636
Sm 0.363 0.182 0.454
Dy 0.547 0.273 0.181
Dy 0.453 0.727 0.819

Output
Total magnetic moment   0.00 μB/f.u.
Energy   -4.6939 eV per atom
DFT formation energy   0.013 eV/atom

Record 5
A relaxed structure of YTcGe2Rh, computed with PBE.

a = 4.284 Å, b = 4.284 Å, c = 5.821 Å
α = 111.59°, β = 111.59°, γ = 90.00°
Positions (direct):
Tc 0.750 0.250 0.500
Y 0.000 0.000 0.000
Rh 0.250 0.750 0.500
Ge 0.371 0.371 0.742
Ge 0.629 0.629 0.258

Output
Total magnetic moment   0.00 μB/f.u.
Energy   -7.3599 eV per atom
DFT formation energy   -0.677 eV/atom

Record 6
A relaxed structure of ScBRu3, computed with PBE.

a = 3.038 Å, b = 6.833 Å, c = 6.833 Å
α = 107.76°, β = 90.00°, γ = 90.00°
Positions (direct):
Ru 0.000 0.664 0.925
Ru 0.000 0.075 0.336
Ru 0.000 0.336 0.075
Ru 0.000 0.925 0.664
Ru 0.500 0.000 0.000
Ru 0.000 0.500 0.500
B 0.500 0.291 0.291
B 0.500 0.709 0.709
Sc 0.500 0.706 0.294
Sc 0.500 0.294 0.706

Output
Total magnetic moment   0.00 μB/f.u.
Energy   -8.5460 eV per atom
DFT formation energy   -0.379 eV/atom

Record 7
A relaxed structure of BaFeRu, computed with PBE.

a = 9.851 Å, b = 4.226 Å, c = 7.869 Å
α = 90.00°, β = 90.00°, γ = 90.00°
Positions (direct):
Fe 0.527 0.750 0.330
Fe 0.473 0.250 0.670
Fe 0.973 0.250 0.830
Fe 0.027 0.750 0.170
Ru 0.548 0.750 0.622
Ru 0.952 0.250 0.122
Ru 0.048 0.750 0.878
Ru 0.452 0.250 0.378
Ba 0.290 0.250 0.018
Ba 0.210 0.750 0.518
Ba 0.710 0.750 0.982
Ba 0.790 0.250 0.482

Output
Total magnetic moment   1.31 μB/f.u.
Energy   -5.9759 eV per atom
DFT formation energy   0.578 eV/atom

Record 8
A relaxed structure of LaTb4Ho, computed with PBE.

a = 4.533 Å, b = 4.533 Å, c = 11.237 Å
α = 90.00°, β = 90.00°, γ = 90.00°
Positions (direct):
Tb 0.997 0.501 0.759
Tb 0.497 0.001 0.244
Tb 0.997 0.501 0.244
Tb 0.497 0.001 0.759
La 0.997 0.001 0.502
Ho 0.497 0.501 0.002

Output
Total magnetic moment   0.00 μB/f.u.
Energy   -4.0429 eV per atom
DFT formation energy   0.628 eV/atom

Record 9
A relaxed structure of PmEr5In4, computed with PBE.

a = 3.536 Å, b = 3.536 Å, c = 21.789 Å
α = 90.00°, β = 90.00°, γ = 90.00°
Positions (direct):
Er 0.500 0.500 0.118
Er 0.500 0.500 0.500
Er 0.500 0.500 0.882
Er 0.500 0.500 0.692
Er 0.500 0.500 0.308
In 0.000 0.000 0.213
In 0.000 0.000 0.787
In 0.000 0.000 0.404
In 0.000 0.000 0.596
Pm 0.000 0.000 0.000

Output
Total magnetic moment   0.01 μB/f.u.
Energy   -4.2145 eV per atom
DFT formation energy   -0.363 eV/atom

Record 10
A relaxed structure of Er3AlPd3, computed with PBE.

a = 4.057 Å, b = 5.557 Å, c = 14.193 Å
α = 90.00°, β = 90.00°, γ = 111.41°
Positions (direct):
Al 0.500 0.000 0.500
Al 0.500 0.000 0.000
Er 0.792 0.585 0.104
Er 0.516 0.032 0.250
Er 0.208 0.415 0.896
Er 0.792 0.585 0.396
Er 0.208 0.415 0.604
Er 0.484 0.968 0.750
Pd 0.761 0.522 0.750
Pd 0.079 0.158 0.409
Pd 0.079 0.158 0.091
Pd 0.239 0.478 0.250
Pd 0.921 0.842 0.909
Pd 0.921 0.842 0.591

Output
Total magnetic moment   0.00 μB/f.u.
Energy   -5.5895 eV per atom
DFT formation energy   -0.874 eV/atom

Record 11
A relaxed structure of BaY2WN4, computed with PBE.

a = 3.505 Å, b = 6.486 Å, c = 12.174 Å
α = 90.00°, β = 90.00°, γ = 105.68°
Positions (direct):
Ba 0.921 0.842 0.250
Ba 0.079 0.158 0.750
Y 0.372 0.743 0.537
Y 0.628 0.257 0.037
Y 0.372 0.743 0.963
Y 0.628 0.257 0.463
N 0.744 0.487 0.886
N 0.256 0.513 0.386
N 0.602 0.204 0.250
N 0.744 0.487 0.614
N 0.000 0.000 0.000
N 0.000 0.000 0.500
N 0.398 0.796 0.750
N 0.256 0.513 0.114
W 0.183 0.366 0.250
W 0.817 0.634 0.750

Output
Formation energy (no corrections)   -814 kJ/mol of formula units
Total magnetic moment   0.40 μB/f.u.
Energy   -8.6931 eV per atom

Record 12
A relaxed structure of Rb3Sm3ThTe8, computed with PBE.

a = 9.121 Å, b = 9.120 Å, c = 10.189 Å
α = 116.62°, β = 90.00°, γ = 120.00°
Positions (direct):
Sm 0.500 0.500 0.500
Sm 0.000 0.500 0.500
Sm 0.500 0.000 0.500
Te 0.766 0.032 0.299
Te 0.766 0.533 0.299
Te 0.266 0.532 0.298
Te 0.234 0.467 0.701
Te 0.734 0.968 0.701
Te 0.234 0.968 0.701
Te 0.734 0.468 0.702
Te 0.266 0.032 0.299
Th 0.000 0.000 0.500
Rb 0.000 0.500 0.000
Rb 0.000 0.000 0.000
Rb 0.500 0.500 0.000

Output
Formation energy (no corrections)   -1981 kJ/mol of formula units
Total magnetic moment   0.00 μB/f.u.
Energy   -4.6765 eV per atom

Record 13
A relaxed structure of SrScTa4, computed with PBE.

a = 5.752 Å, b = 5.752 Å, c = 5.752 Å
α = 60.00°, β = 60.00°, γ = 60.00°
Positions (direct):
Ta 0.374 0.374 0.877
Ta 0.374 0.374 0.374
Ta 0.877 0.374 0.374
Ta 0.374 0.877 0.374
Sr 0.000 0.000 0.000
Sc 0.750 0.750 0.750

Output
Total magnetic moment   0.00 μB/f.u.
Energy   -8.6715 eV per atom
DFT formation energy   0.566 eV/atom

Record 14
A relaxed structure of AsRuSe, computed with PBE.

a = 8.032 Å, b = 7.750 Å, c = 2.959 Å
α = 84.62°, β = 73.86°, γ = 21.51°
Positions (direct):
Se 0.699 0.699 0.301
Ru 0.333 0.333 0.667
As 0.968 0.968 0.032

Output
Formation energy (no corrections)   74 kJ/mol of formula units
Total magnetic moment   0.00 μB/f.u.
Energy   -5.5469 eV per atom

Record 15
A relaxed structure of MnPAuSN, computed with PBE.

a = 2.805 Å, b = 2.927 Å, c = 17.493 Å
α = 90.00°, β = 90.00°, γ = 90.00°
Positions (direct):
P 0.500 0.500 0.107
P 0.500 0.000 0.607
S 0.500 0.000 0.328
S 0.500 0.500 0.828
Au 0.500 0.000 0.471
Au 0.500 0.500 0.971
Mn 0.000 0.500 0.273
Mn 0.000 0.000 0.773
N 0.000 0.500 0.161
N 0.000 0.000 0.661

Output
Formation energy (no corrections)   16 kJ/mol of formula units
Total magnetic moment   0.00 μB/f.u.
Energy   -6.0288 eV per atom

Record 16
A relaxed structure of BC5, computed with PBE.

a = 2.509 Å, b = 4.523 Å, c = 6.388 Å
α = 91.01°, β = 90.00°, γ = 90.00°
Positions (direct):
C 0.000 0.979 0.013
C 0.000 0.330 0.574
C 0.000 0.000 0.248
C 0.500 0.854 0.571
C 0.500 0.499 0.252
C 0.500 0.504 0.009
C 0.500 0.169 0.655
C 0.000 0.334 0.332
C 0.000 0.664 0.928
C 0.500 0.834 0.335
B 0.000 0.657 0.675
B 0.500 0.176 0.909

Output
Total magnetic moment   0.00 μB/f.u.
Energy   -8.5473 eV per atom
DFT formation energy   0.252 eV/atom

Record 17
A relaxed structure of Sm2TmSi6, computed with PBE.

a = 4.004 Å, b = 7.119 Å, c = 7.119 Å
α = 120.00°, β = 90.00°, γ = 90.00°
Positions (direct):
Si 0.500 0.000 0.669
Si 0.500 0.000 0.331
Si 0.500 0.331 0.000
Si 0.500 0.669 0.000
Si 0.500 0.669 0.669
Si 0.500 0.331 0.331
Tm 0.000 0.000 0.000
Sm 0.000 0.667 0.333
Sm 0.000 0.333 0.667

Output
Formation energy (no corrections)   -462 kJ/mol of formula units
Total magnetic moment   0.00 μB/f.u.
Energy   -5.6934 eV per atom

Record 18
A relaxed structure of Ho3CdFe, computed with PBE.

a = 5.130 Å, b = 5.130 Å, c = 5.130 Å
α = 90.00°, β = 90.00°, γ = 90.00°
Positions (direct):
Fe 0.000 0.000 0.000
Ho 0.000 0.000 0.500
Ho 0.000 0.500 0.000
Ho 0.500 0.000 0.000
Cd 0.500 0.500 0.500

Output
Total magnetic moment   0.00 μB/f.u.
Energy   -4.6108 eV per atom
DFT formation energy   0.011 eV/atom

Record 19
A relaxed structure of CoTc2BiIr, computed with PBE.

a = 4.975 Å, b = 4.548 Å, c = 4.975 Å
α = 90.00°, β = 90.00°, γ = 90.00°
Positions (direct):
Tc 0.500 0.000 0.000
Tc 0.000 0.000 0.500
Bi 0.000 0.000 0.000
Co 0.000 0.500 0.000
Ir 0.500 0.500 0.500

Output
Total magnetic moment   6.10 μB/f.u.
Energy   -5.5944 eV per atom
DFT formation energy   2.522 eV/atom

Record 20
A relaxed structure of Mg2InIr, computed with PBE.

a = 3.189 Å, b = 3.806 Å, c = 6.076 Å
α = 90.00°, β = 90.00°, γ = 90.00°
Positions (direct):
In 0.000 0.000 0.520
Mg 0.500 0.500 0.242
Mg 0.000 0.000 0.972
Ir 0.500 0.500 0.766

Output
Total magnetic moment   0.00 μB/f.u.
Energy   -3.8598 eV per atom
DFT formation energy   -0.163 eV/atom